DFT (PBE) results for crystalline LiNdTeI at its relaxed geometry.

Results
V, Å³/atom: 31.5
E_tot, eV per cell: -48.13

Unit cell a=4.3422 b=4.3422 c=23.1295 alpha=90.00 beta=90.00 gamma=120.00
Space group R3m (No. 160, hexagonal axes)
Unique sites:
Li (0.0000, 0.0000, 0.0000)
Nd (0.0000, 0.0000, 0.4630)
Te (0.0000, 0.0000, 0.7120)
I (0.0000, 0.0000, 0.2196)

---

DFT (PBE) results for crystalline ScNi8B4 at its relaxed geometry.

Results
Energy of formation, eV/f.u.: -2.9
V, Å³/atom: 9.6
E_tot, eV per cell: -164.36

Unit cell a=7.5147 b=7.5147 c=4.4222 alpha=90.00 beta=90.00 gamma=90.00
Space group I4/mmm (No. 139)
Unique sites:
Sc (0.0000, 0.0000, 0.0000)
Ni (0.0000, 0.2235, 0.5000)
Ni (0.0000, 0.3381, 0.0000)
B (0.2500, 0.2500, 0.2500)

---

DFT (PBE) results for crystalline TaTcRu2 at its relaxed geometry.

Results
Energy above the lowest structure with this stoichiometry, meV/atom: 44
Energy of formation, eV/f.u.: -0.3
V, Å³/atom: 15.1
E_tot, eV per cell: -82.19

Unit cell a=5.5792 b=7.6885 c=2.8153 alpha=90.00 beta=90.00 gamma=90.00
Space group Cmmm (No. 65)
Unique sites:
Ta (0.0000, 0.0000, 0.0000)
Tc (0.0000, 0.5000, 0.0000)
Ru (0.2500, 0.2500, 0.5000)

---

DFT (PBE) results for crystalline Si2Au at its relaxed geometry.

Results
Energy above the lowest structure with this stoichiometry, meV/atom: 326
V, Å³/atom: 17.6
E_tot, eV per cell: -12.86

Unit cell a=4.0627 b=4.0627 c=3.7025 alpha=90.00 beta=90.00 gamma=120.00
Space group P6/mmm (No. 191)
Unique sites:
Si (0.3333, 0.6667, 0.0000)
Au (0.0000, 0.0000, 0.5000)